# Ho3ThBi4

A relaxed Ho3ThBi4 crystal (PBE-GGA, Alexandria).

Calculated values
Spin magnetization (μB/atom): 0.000
Formation energy from the elements (eV per atom): -0.775
Density of states at the Fermi level (states/eV/atom): 0.22
Space-group type: Cmmm
Calculated total energy (eV per formula unit): -42.9

Cell lengths 4.506, 7.784, 7.784 Å; angles 109.50, 90.00, 90.00 degrees
Atoms (fractional coordinates):
Th: 0.500 0.000 0.000
Bi: 0.500 0.747 0.253
Bi: 0.000 0.257 0.257
Bi: 0.000 0.743 0.743
Bi: 0.500 0.253 0.747
Ho: 0.500 0.500 0.500
Ho: 0.000 0.500 0.000
Ho: 0.000 0.000 0.500

=====

# HoThBi

A relaxed HoThBi crystal (PBE-GGA, Alexandria).

Calculated values
Spin magnetization (μB/atom): 0.000
Formation energy from the elements (eV per atom): -0.442
Density of states at the Fermi level (states/eV/atom): 1.24
Space-group type: Pnma
Calculated total energy (eV per formula unit): -17.2

Cell lengths 4.537, 4.537, 17.999 Å; angles 90.00, 90.00, 90.00 degrees
Atoms (fractional coordinates):
Ho: 0.751 0.250 0.322
Ho: 0.249 0.750 0.678
Ho: 0.749 0.250 0.822
Ho: 0.251 0.750 0.178
Th: 0.250 0.250 0.500
Th: 0.750 0.750 0.500
Th: 0.250 0.250 0.000
Th: 0.750 0.750 0.000
Bi: 0.249 0.750 0.854
Bi: 0.251 0.750 0.354
Bi: 0.749 0.250 0.646
Bi: 0.751 0.250 0.146